(1)
First-principles (GGA-PBE) data for an optimized crystal structure of TaCoH4, as listed in the Alexandria database.

a b c (Å): 4.214 4.600 5.453
angles (deg): 90.00 90.00 122.11
Element x y z (fractional)
H: 0.608 0.319 0.750
H: 0.845 0.625 0.439
H: 0.155 0.375 0.939
H: 0.845 0.625 0.061
H: 0.155 0.375 0.561
H: 0.392 0.681 0.250
H: 0.370 0.259 0.250
H: 0.630 0.741 0.750
Co: 0.162 0.861 0.250
Co: 0.838 0.139 0.750
Ta: 0.840 0.219 0.250
Ta: 0.160 0.781 0.750

Output
**Uncorrected energy**: -64.20 eV per cell

=====

(2)
First-principles (GGA-PBE) data for an optimized crystal structure of TaCo3H, as listed in the Alexandria database.

a b c (Å): 5.286 5.154 4.217
angles (deg): 90.00 88.99 60.82
Last column: magnetic moment on the atom in μB.
Element x y z (fractional)
Co: 0.811 0.384 0.063  0.43
Co: 0.652 0.710 0.560  0.41
Co: 0.652 0.218 0.560  0.41
Co: 0.335 0.377 0.064  0.41
Co: 0.335 0.868 0.064  0.41
Co: 0.176 0.702 0.561  0.43
H: 0.493 0.044 0.812  0.00
H: 0.493 0.543 0.812  -0.01
Ta: 0.134 0.223 0.546  -0.16
Ta: 0.853 0.864 0.078  -0.16

Output
**Energy above the lowest structure with this stoichiometry**: 28 meV per atom

=====

(3)
First-principles (GGA-PBE) data for an optimized crystal structure of TaCo3H3, as listed in the Alexandria database.

a b c (Å): 4.830 4.830 4.830
angles (deg): 90.00 90.00 90.00
Last column: magnetic moment on the atom in μB.
Element x y z (fractional)
H: 0.500 0.750 0.000  0.00
H: 0.000 0.500 0.250  0.00
H: 0.250 0.000 0.500  0.00
H: 0.500 0.250 0.000  0.00
H: 0.750 0.000 0.500  0.00
H: 0.000 0.500 0.750  0.00
Ta: 0.500 0.500 0.500  -0.08
Ta: 0.000 0.000 0.000  -0.08
Co: 0.500 0.000 0.750  0.31
Co: 0.000 0.250 0.500  0.31
Co: 0.000 0.750 0.500  0.31
Co: 0.750 0.500 0.000  0.31
Co: 0.500 0.000 0.250  0.31
Co: 0.250 0.500 0.000  0.31

Output
**Uncorrected energy**: -86.48 eV per cell

=====

(4)
First-principles (GGA-PBE) data for an optimized crystal structure of TaCo3H, as listed in the Alexandria database.

a b c (Å): 4.510 4.510 4.510
angles (deg): 90.00 90.00 90.00
Last column: magnetic moment on the atom in μB.
Element x y z (fractional)
Co: 0.000 0.000 0.500  0.71
Co: 0.000 0.500 0.000  0.56
Co: 0.500 0.000 0.000  0.31
Ta: 0.000 0.000 0.000  -0.28
H: 0.500 0.500 0.500  0.06

Output
**Energy above the lowest structure with this stoichiometry**: 2306 meV per atom

=====

(5)
First-principles (GGA-PBE) data for an optimized crystal structure of TaCo3H, as listed in the Alexandria database.

a b c (Å): 4.201 5.172 4.640
angles (deg): 90.00 88.91 90.00
Last column: magnetic moment on the atom in μB.
Element x y z (fractional)
Co: 0.251 0.504 0.838  0.38
Co: 0.749 0.004 0.162  0.40
Co: 0.749 0.496 0.162  0.38
Co: 0.253 0.250 0.320  0.61
Co: 0.747 0.750 0.680  0.61
Co: 0.251 0.996 0.838  0.40
H: 0.024 0.250 0.007  -0.01
H: 0.976 0.750 0.993  -0.01
Ta: 0.261 0.750 0.355  -0.16
Ta: 0.739 0.250 0.645  -0.16

Output
**Energy above the lowest structure with this stoichiometry**: 56 meV per atom

=====

(6)
First-principles (GGA-PBE) data for an optimized crystal structure of TaCo2H3, as listed in the Alexandria database.

a b c (Å): 3.232 6.713 8.573
angles (deg): 90.00 90.00 90.00
Element x y z (fractional)
Ta: 0.750 0.187 0.905
Ta: 0.250 0.813 0.095
Ta: 0.250 0.313 0.405
Ta: 0.750 0.687 0.595
Co: 0.750 0.643 0.283
Co: 0.250 0.408 0.100
Co: 0.250 0.857 0.783
Co: 0.750 0.092 0.600
Co: 0.250 0.357 0.717
Co: 0.750 0.143 0.217
Co: 0.750 0.592 0.900
Co: 0.250 0.908 0.400
H: 0.250 0.585 0.945
H: 0.750 0.983 0.070
H: 0.250 0.569 0.253
H: 0.250 0.069 0.247
H: 0.250 0.017 0.930
H: 0.750 0.431 0.747
H: 0.750 0.931 0.753
H: 0.750 0.915 0.445
H: 0.250 0.085 0.555
H: 0.250 0.517 0.570
H: 0.750 0.415 0.055
H: 0.750 0.483 0.430

Output
**Uncorrected energy**: -145.96 eV per cell

=====

(7)
First-principles (GGA-PBE) data for an optimized crystal structure of TaCoH2, as listed in the Alexandria database.

a b c (Å): 3.642 3.848 5.196
angles (deg): 111.73 90.00 90.00
Last column: magnetic moment on the atom in μB.
Element x y z (fractional)
H: 0.250 0.026 0.608  0.00
H: 0.750 0.974 0.392  0.00
H: 0.250 0.582 0.608  0.00
H: 0.750 0.418 0.392  0.00
Co: 0.750 0.578 0.157  0.20
Co: 0.250 0.422 0.843  0.20
Ta: 0.250 0.126 0.253  0.03
Ta: 0.750 0.874 0.747  0.03

Output
**Energy above the lowest structure with this stoichiometry**: 0 meV per atom

=====

(8)
First-principles (GGA-PBE) data for an optimized crystal structure of TaCo3H, as listed in the Alexandria database.

a b c (Å): 6.832 6.832 6.832
angles (deg): 38.99 38.99 38.99
Last column: magnetic moment on the atom in μB.
Element x y z (fractional)
Co: 0.886 0.227 0.551  1.04
Co: 0.227 0.551 0.886  1.02
Co: 0.114 0.773 0.449  1.04
Co: 0.551 0.886 0.227  1.06
Co: 0.773 0.449 0.114  1.02
Co: 0.449 0.114 0.773  1.06
Ta: 0.663 0.663 0.663  -0.01
Ta: 0.337 0.337 0.337  -0.01
H: 0.835 0.835 0.835  -0.01
H: 0.165 0.165 0.165  -0.01

Output
**Energy above the lowest structure with this stoichiometry**: 558 meV per atom

=====

(9)
First-principles (GGA-PBE) data for an optimized crystal structure of TaCo3H, as listed in the Alexandria database.

a b c (Å): 4.214 5.288 5.154
angles (deg): 60.83 90.00 91.14
Last column: magnetic moment on the atom in μB.
Element x y z (fractional)
Co: 0.146 0.402 0.908  0.42
Co: 0.641 0.719 0.749  0.42
Co: 0.642 0.242 0.233  0.42
Co: 0.641 0.719 0.239  0.42
Co: 0.146 0.879 0.914  0.42
Co: 0.146 0.402 0.398  0.42
H: 0.894 0.561 0.074  -0.01
H: 0.394 0.560 0.574  0.00
Ta: 0.656 0.201 0.753  -0.16
Ta: 0.132 0.920 0.394  -0.16

Output
**Energy above the lowest structure with this stoichiometry**: 30 meV per atom

=====

(10)
First-principles (GGA-PBE) data for an optimized crystal structure of TaCoH2, as listed in the Alexandria database.

a b c (Å): 3.942 3.942 5.243
angles (deg): 67.92 67.92 90.00
Last column: magnetic moment on the atom in μB.
Element x y z (fractional)
H: 0.558 0.125 0.250  0.00
H: 0.192 0.625 0.250  0.00
H: 0.875 0.808 0.750  0.00
H: 0.375 0.442 0.750  0.00
Ta: 0.000 0.000 0.000  0.17
Ta: 0.750 0.250 0.500  0.17
Co: 0.500 0.500 0.000  0.60
Co: 0.250 0.750 0.500  0.60

Output
**Energy above the lowest structure with this stoichiometry**: 67 meV per atom

=====

(11)
First-principles (GGA-PBE) data for an optimized crystal structure of TaCo3H, as listed in the Alexandria database.

a b c (Å): 4.140 4.140 7.364
angles (deg): 90.00 90.00 120.00
Last column: magnetic moment on the atom in μB.
Element x y z (fractional)
Co: 0.667 0.333 0.917  0.66
Co: 0.000 0.000 0.750  0.17
Co: 0.333 0.667 0.083  0.66
Co: 0.667 0.333 0.583  0.66
Co: 0.333 0.667 0.417  0.66
Co: 0.000 0.000 0.250  0.17
Ta: 0.333 0.667 0.750  -0.17
Ta: 0.667 0.333 0.250  -0.17
H: 0.000 0.000 0.500  0.00
H: 0.000 0.000 0.000  0.00

Output
**Energy above the lowest structure with this stoichiometry**: 566 meV per atom

=====

(12)
First-principles (GGA-PBE) data for an optimized crystal structure of TaCo3H, as listed in the Alexandria database.

a b c (Å): 4.566 4.566 6.281
angles (deg): 68.68 68.68 90.00
Last column: magnetic moment on the atom in μB.
Element x y z (fractional)
Co: 0.079 0.843 0.314  1.00
Co: 0.368 0.368 0.265  0.97
Co: 0.157 0.921 0.686  1.15
Co: 0.157 0.393 0.686  1.15
Co: 0.632 0.632 0.735  1.05
Co: 0.607 0.843 0.314  0.99
H: 0.250 0.750 0.500  -0.01
H: 0.000 0.000 0.000  0.00
Ta: 0.951 0.451 0.098  -0.17
Ta: 0.549 0.049 0.902  -0.21

Output
**Energy above the lowest structure with this stoichiometry**: 429 meV per atom

=====

Copy entry 5 word for word.
First-principles (GGA-PBE) data for an optimized crystal structure of TaCo3H, as listed in the Alexandria database.

a b c (Å): 4.201 5.172 4.640
angles (deg): 90.00 88.91 90.00
Last column: magnetic moment on the atom in μB.
Element x y z (fractional)
Co: 0.251 0.504 0.838  0.38
Co: 0.749 0.004 0.162  0.40
Co: 0.749 0.496 0.162  0.38
Co: 0.253 0.250 0.320  0.61
Co: 0.747 0.750 0.680  0.61
Co: 0.251 0.996 0.838  0.40
H: 0.024 0.250 0.007  -0.01
H: 0.976 0.750 0.993  -0.01
Ta: 0.261 0.750 0.355  -0.16
Ta: 0.739 0.250 0.645  -0.16

Output
**Energy above the lowest structure with this stoichiometry**: 56 meV per atom